Entry 1:
# Sr2P2Os2C (PBE, relaxed)
# DFT formation energy = -4.17 eV per formula unit
# E = -7.15 eV per atom
data_Sr2P2Os2C
_cell_length_a 11.3608
_cell_length_b 4.0037
_cell_length_c 7.1613
_cell_angle_alpha 90.00
_cell_angle_beta 123.92
_cell_angle_gamma 90.00
_space_group_name_H-M_alt 'C 1 2/m 1'
_space_group_IT_number 12
loop_
_space_group_symop_operation_xyz
'x,y,z'
'-x,-y,-z'
'-x,y,-z'
'x,-y,z'
'x+1/2,y+1/2,z'
'-x+1/2,-y+1/2,-z'
'-x+1/2,y+1/2,-z'
'x+1/2,-y+1/2,z'
loop_
_atom_site_label
_atom_site_type_symbol
_atom_site_fract_x
_atom_site_fract_y
_atom_site_fract_z
_atom_site_occupancy
Sr1 Sr 0.0640 0.0000 0.3190 1
P1 P 0.1903 0.5000 0.7430 1
Os1 Os 0.1883 0.5000 0.0717 1
C1 C 0.0000 0.5000 0.0000 1

=====

Entry 2:
# CaAl2Fe2 (PBE, relaxed)
# DFT formation energy = -0.44 eV per formula unit
# E = -5.37 eV per atom
data_CaAl2Fe2
_cell_length_a 7.6367
_cell_length_b 7.6367
_cell_length_c 2.6967
_cell_angle_alpha 90.00
_cell_angle_beta 90.00
_cell_angle_gamma 90.00
_space_group_name_H-M_alt 'P 4/m b m'
_space_group_IT_number 127
_space_group_name_Hall '-P 4 2ab'
loop_
_atom_site_label
_atom_site_type_symbol
_atom_site_fract_x
_atom_site_fract_y
_atom_site_fract_z
_atom_site_occupancy
Ca1 Ca 0.0000 0.0000 0.0000 1
Al1 Al 0.1722 0.3278 0.5000 1
Fe1 Fe 0.1156 0.6156 0.0000 1

=====

Entry 3:
# Sr2SbTe (PBE, relaxed)
# ΔE to the lowest computed polymorph = 0.000 eV/f.u.
# E_form (uncorrected) = -1.2151 eV/atom
# E = -3.87 eV per atom
data_Sr2SbTe
_cell_length_a 7.9573
_cell_length_b 4.5506
_cell_length_c 8.7830
_cell_angle_alpha 90.00
_cell_angle_beta 107.28
_cell_angle_gamma 90.00
_space_group_name_H-M_alt 'C 1 2/m 1'
_space_group_IT_number 12
loop_
_space_group_symop_operation_xyz
'x,y,z'
'-x,-y,-z'
'-x,y,-z'
'x,-y,z'
'x+1/2,y+1/2,z'
'-x+1/2,-y+1/2,-z'
'-x+1/2,y+1/2,-z'
'x+1/2,-y+1/2,z'
loop_
_atom_site_label
_atom_site_type_symbol
_atom_site_fract_x
_atom_site_fract_y
_atom_site_fract_z
_atom_site_occupancy
Sr1 Sr 0.2460 0.0000 0.2393 1
Sb1 Sb 0.0000 0.0000 0.5000 1
Te1 Te 0.0000 0.5000 0.0000 1

=====

Entry 4:
# KNbBW2 (PBE, relaxed)
# DFT formation energy = 6.19 eV per formula unit
# E = -7.51 eV per atom
data_KNbBW2
_cell_length_a 4.3360
_cell_length_b 4.3360
_cell_length_c 4.7291
_cell_angle_alpha 90.00
_cell_angle_beta 90.00
_cell_angle_gamma 90.00
_space_group_name_H-M_alt 'P 4/m m m'
_space_group_IT_number 123
_space_group_name_Hall '-P 4 2'
loop_
_atom_site_label
_atom_site_type_symbol
_atom_site_fract_x
_atom_site_fract_y
_atom_site_fract_z
_atom_site_occupancy
K1 K 0.0000 0.0000 0.0000 1
Nb1 Nb 0.5000 0.5000 0.0000 1
B1 B 0.5000 0.5000 0.5000 1
W1 W 0.0000 0.5000 0.5000 1

=====

Entry 5:
# Dy3Si2Ru (PBE, relaxed)
# E_form (uncorrected) = -0.6936 eV/atom
# E = -6.35 eV per atom
data_Dy3Si2Ru
_cell_length_a 11.5363
_cell_length_b 4.1521
_cell_length_c 11.2272
_cell_angle_alpha 90.00
_cell_angle_beta 90.00
_cell_angle_gamma 90.00
_space_group_name_H-M_alt 'P n m a'
_space_group_IT_number 62
loop_
_space_group_symop_operation_xyz
'x,y,z'
'-x,-y,-z'
'-x+1/2,-y,z+1/2'
'x+1/2,y,-z+1/2'
'x+1/2,-y+1/2,-z+1/2'
'-x+1/2,y+1/2,z+1/2'
'-x,y+1/2,-z'
'x,-y+1/2,z'
loop_
_atom_site_label
_atom_site_type_symbol
_atom_site_fract_x
_atom_site_fract_y
_atom_site_fract_z
_atom_site_occupancy
Dy1 Dy 0.0579 0.2500 0.1222 1
Dy2 Dy 0.1220 0.7500 0.5558 1
Dy3 Dy 0.2144 0.2500 0.7988 1
Si1 Si 0.0194 0.7500 0.3136 1
Si2 Si 0.1945 0.7500 0.9929 1
Ru1 Ru 0.1285 0.2500 0.3615 1